TlAuF3: relaxed, PBE-GGA.

```
TlAuF3
1.0
3.251 1.877 4.332
-3.251 1.877 4.332
0.000 -3.754 4.332
Tl Au F
2 2 6
Cartesian
0.000 0.000 0.000
0.000 0.000 6.497
0.000 0.000 2.740
0.000 0.000 9.237
-0.878 -1.496 4.886
-2.395 -0.369 7.052
-0.856 1.509 4.886
1.517 -1.890 7.052
1.734 -0.013 4.886
0.878 2.258 7.052
```

Calculated values
**Symmetry**: No. 161

***

Tl3AuF6: relaxed, PBE-GGA.

```
Tl3AuF6
1.0
4.988 -6.941 0.000
4.988 6.941 0.000
0.000 0.000 5.641
Tl Au F
6 2 12
Cartesian
4.988 5.690 2.820
3.065 1.704 2.965
3.065 -1.704 0.145
6.912 1.704 2.965
6.912 -1.704 0.145
4.988 -5.690 0.000
4.988 2.442 5.454
4.988 -2.442 2.634
3.430 4.315 2.224
1.338 0.061 1.383
1.338 -0.061 4.203
4.988 4.382 4.820
6.547 4.315 2.224
4.988 0.596 0.611
4.988 -0.596 3.431
3.430 -4.315 5.044
4.988 -4.382 2.000
8.639 0.061 1.383
8.639 -0.061 4.203
6.547 -4.315 5.044
```

Calculated values
**Symmetry**: No. 36

***

Tl2AuF: relaxed, PBE-GGA.

```
Tl2AuF
1.0
5.140 0.000 0.000
0.000 5.140 0.000
0.000 0.000 3.457
Tl Au F
2 1 1
Cartesian
0.000 2.570 0.000
2.570 0.000 0.000
0.000 0.000 1.729
2.570 2.570 1.729
```

Calculated values
**Symmetry**: No. 123
**E above lowest polymorph**: 24 meV/atom

***

TlAuF: relaxed, PBE-GGA.

```
TlAuF
1.0
3.031 0.000 0.000
0.000 4.234 0.000
0.000 0.000 5.015
Tl Au F
1 1 1
Cartesian
0.000 0.000 0.000
1.515 0.000 2.507
1.515 2.117 0.000
```

Calculated values
**Symmetry**: No. 47
**E above lowest polymorph**: 0 meV/atom

***

TlAuF2: relaxed, PBE-GGA.

```
TlAuF2
1.0
2.145 1.238 6.678
-2.145 1.238 6.678
0.000 -2.477 6.678
Tl Au F
1 1 2
Cartesian
0.000 0.000 0.000
0.000 0.000 10.017
0.000 0.000 7.991
0.000 0.000 12.042
```

Calculated values
**Symmetry**: No. 166
**E above lowest polymorph**: 0 meV/atom

***

Tl2AuF6: relaxed, PBE-GGA.

```
Tl2AuF6
1.0
4.753 0.000 0.000
0.019 6.025 0.000
0.005 3.012 5.494
Tl Au F
2 1 6
Cartesian
0.977 3.007 1.942
3.800 6.029 3.553
2.377 0.000 0.000
1.286 4.447 4.662
1.300 7.595 4.682
1.341 6.045 1.973
3.436 2.992 3.522
3.476 1.442 0.813
3.490 4.590 0.832
```

Calculated values
**Symmetry**: No. 2

***

| no. | raw formation energy (meV per atom) |
| --- | --- |
| 1 | -1173 |
| 2 | -1589 |
| 3 | -731 |
| 4 | -719 |
| 5 | -1200 |
| 6 | -1394 |